Entry 1:
W3SeCl: optimized geometry, GGA-PBE.

Properties
Volume = 89 Å³ per cell
Uncorrected formation energy = 1813 meV/atom
Space group = Pm-3m (221)
Density of states at the Fermi level = 4.1 states/eV per cell

abc: 4.4600 4.4600 4.4600
angles: 90.00 90.00 90.00
Closest atoms and distances in Å follow each position.
Fractional coordinates of all 5 atoms:
W: 0.0000 0.0000 0.5000  2 Cl 2.23
W: 0.0000 0.5000 0.0000  2 Cl 2.23
W: 0.5000 0.0000 0.0000  2 Cl 2.23
Se: 0.5000 0.5000 0.5000  12 W 3.15
Cl: 0.0000 0.0000 0.0000  6 W 2.23

***

Entry 2:
WSe3Cl: optimized geometry, GGA-PBE.

Properties
Volume = 119 Å³ per cell
Uncorrected formation energy = 194 meV/atom
Space group = Pm-3m (221)
Density of states at the Fermi level = 4.9 states/eV per cell

abc: 4.9214 4.9214 4.9214
angles: 90.00 90.00 90.00
Closest atoms and distances in Å follow each position.
Fractional coordinates of all 5 atoms:
Se: 0.0000 0.5000 0.0000  2 W 2.46
Se: 0.5000 0.0000 0.0000  2 W 2.46
Se: 0.0000 0.0000 0.5000  2 W 2.46
Cl: 0.5000 0.5000 0.5000  12 Se 3.48
W: 0.0000 0.0000 0.0000  6 Se 2.46

***

Entry 3:
W2Se3Cl: optimized geometry, GGA-PBE.

Properties
Volume = 285 Å³ per cell
Uncorrected formation energy = -451 meV/atom
Space group = C2/m (12)
Density of states at the Fermi level = 1.9 states/eV per cell

abc: 3.3004 8.8257 10.3664
angles: 101.54 80.84 79.22
Closest atoms and distances in Å follow each position.
Fractional coordinates of all 12 atoms:
Cl: 0.4347 0.4402 0.6904  3 W 2.45-2.53
Cl: 0.5653 0.5598 0.3096  3 W 2.45-2.53
Se: 0.0671 0.0549 0.8108  3 W 2.53-2.54
Se: 0.3134 0.3376 0.0355  3 W 2.58-2.67
Se: 0.6866 0.6624 0.9645  3 W 2.58-2.67
Se: 0.1917 0.1558 0.4608  3 W 2.62-2.65
Se: 0.8083 0.8442 0.5392  3 W 2.62-2.65
Se: 0.9329 0.9451 0.1892  3 W 2.53-2.54
W: 0.0996 0.6464 0.1543  2 Cl 2.53, 4 Se 2.53-2.67, 2 W 2.81
W: 0.9004 0.3536 0.8457  2 Cl 2.53, 4 Se 2.53-2.67, 2 W 2.81
W: 0.4047 0.8494 0.3411  1 Cl 2.45, 5 Se 2.54-2.65
W: 0.5953 0.1506 0.6589  1 Cl 2.45, 5 Se 2.54-2.65

***

Entry 4:
WSe3Cl: optimized geometry, GGA-PBE.

Properties
Volume = 115 Å³ per cell
Uncorrected formation energy = 1622 meV/atom
Space group = Pm-3m (221)
Density of states at the Fermi level = 4.9 states/eV per cell

abc: 4.8683 4.8683 4.8683
angles: 90.00 90.00 90.00
Closest atoms and distances in Å follow each position.
Fractional coordinates of all 5 atoms:
Cl: 0.0000 0.0000 0.0000  6 Se 2.43
Se: 0.0000 0.0000 0.5000  2 Cl 2.43
Se: 0.0000 0.5000 0.0000  2 Cl 2.43
Se: 0.5000 0.0000 0.0000  2 Cl 2.43
W: 0.5000 0.5000 0.5000  12 Se 3.44

***

Entry 5:
W4Se8Cl: optimized geometry, GGA-PBE.

Properties
Volume = 328 Å³ per cell
Uncorrected formation energy = -318 meV/atom
Space group = R-3m (166)
Density of states at the Fermi level = 6.3 states/eV per cell

abc: 6.6171 6.6171 9.4555
angles: 90.00 110.48 120.00
Closest atoms and distances in Å follow each position.
Fractional coordinates of all 13 atoms:
Se: 0.9657 0.2326 0.1983  3 W 2.57
Se: 0.5345 0.2673 0.8018  3 W 2.57
Se: 0.0343 0.7674 0.8017  3 W 2.57
Se: 0.0343 0.2669 0.8017  3 W 2.57
Se: 0.4655 0.7327 0.1982  3 W 2.57
Se: 0.5349 0.7674 0.8017  3 W 2.57
Se: 0.9657 0.7331 0.1983  3 W 2.57
Se: 0.4651 0.2326 0.1983  3 W 2.57
W: 0.5000 0.0000 0.0000  6 Se 2.57
W: 0.0000 0.5000 0.0000  6 Se 2.57
W: 0.5000 0.5000 0.0000  6 Se 2.57
W: 0.0000 0.0000 0.0000  6 Se 2.57
Cl: 0.0000 0.5000 0.5000  6 Se 3.24

***

Entry 6:
WSe3Cl: optimized geometry, GGA-PBE.

Properties
Volume = 321 Å³ per cell
Uncorrected formation energy = -63 meV/atom
Space group = C2/m (12)
Density of states at the Fermi level = 0.0 states/eV per cell

abc: 4.6933 8.5573 9.4093
angles: 116.74 89.97 105.94
Closest atoms and distances in Å follow each position.
Fractional coordinates of all 10 atoms:
Se: 0.8272 0.6551 0.4215  1 W 2.30
Se: 0.3150 0.6300 0.0739  3 W 2.55-2.68
Se: 0.0012 0.0024 0.2811  1 W 2.28
Se: 0.6850 0.3700 0.9261  3 W 2.55-2.68
Se: 0.9988 0.9976 0.7189  1 W 2.28
Se: 0.1728 0.3449 0.5785  1 W 2.30
W: 0.8466 0.6933 0.1943  4 Se 2.28-2.55
W: 0.1534 0.3067 0.8057  4 Se 2.28-2.55
Cl: 0.3513 0.7039 0.7024  1 Se 2.62
Cl: 0.6487 0.2961 0.2976  1 Se 2.62